K2FeH4S2O10: optimized geometry, PBE with a Hubbard U. Values from VASP.

Properties
M_tot in μB per atom: 0.211
D(E_F) in states/eV per cell: 0.00
Symmetry: No. 2
E above lowest polymorph in kJ per mole of atoms: 0.0

Quantum ESPRESSO input file:
```
&SYSTEM
  ibrav = 0, nat = 38, ntyp = 5
/
ATOMIC_SPECIES
S 32.06 S.upf
O 16.00 O.upf
H 1.01 H.upf
Fe 55.84 Fe.upf
K 39.10 K.upf
CELL_PARAMETERS angstrom
-6.3600 -1.6785 -0.5377
-1.5165 -6.2124 3.9359
-4.7525 3.0875 9.1872
ATOMIC_POSITIONS crystal
S 0.7668 0.7279 0.4144
O 0.7400 0.2342 0.7727
O 0.4321 0.1385 0.6385
S 0.7589 0.2788 0.0746
O 0.1017 0.4117 0.6770
H 0.8556 0.8251 0.7936
Fe 0.7494 0.5283 0.7508
H 0.2324 0.8356 0.1372
O 0.9695 0.1600 0.1210
Fe 0.2506 0.4717 0.2492
O 0.6951 0.6087 0.5476
K 0.7673 0.2397 0.4263
O 0.7840 0.8076 0.7303
O 0.0305 0.8400 0.8790
S 0.2332 0.2721 0.5856
O 0.1945 0.5639 0.0439
O 0.2600 0.7658 0.2273
O 0.8055 0.4361 0.9561
O 0.6616 0.1546 0.0400
H 0.8751 0.1802 0.7084
O 0.5679 0.8615 0.3615
H 0.7676 0.1644 0.8628
H 0.1249 0.8198 0.2916
O 0.8983 0.5883 0.3230
O 0.6013 0.3765 0.1836
O 0.0907 0.1624 0.5777
O 0.3987 0.6235 0.8164
K 0.2327 0.7603 0.5737
H 0.1444 0.1749 0.2064
O 0.3384 0.8454 0.9600
K 0.7048 0.7480 0.1014
S 0.2411 0.7212 0.9254
K 0.2952 0.2520 0.8986
H 0.3441 0.0767 0.2886
O 0.3049 0.3913 0.4524
O 0.9093 0.8376 0.4223
H 0.6559 0.9233 0.7114
O 0.2160 0.1924 0.2697
```